1.
First-principles (PBE-GGA) data for Al2BO5 after structural relaxation, as listed in the Alexandria database.

Computed properties:
Its space-group type is Cmcm (63). Its uncorrected formation energy is -2.42 eV/atom.

The structure in CIF format:
```
data_Al2BO5
_symmetry_space_group_name_H-M 'P 1'
_symmetry_Int_Tables_number 1
_cell_length_a 3.655
_cell_length_b 5.334
_cell_length_c 9.586
_cell_angle_alpha 90.00
_cell_angle_beta 90.00
_cell_angle_gamma 110.04
loop_
_symmetry_equiv_pos_as_xyz
'x,y,z'
loop_
_atom_site_label
_atom_site_type_symbol
_atom_site_fract_x
_atom_site_fract_y
_atom_site_fract_z
O1 O 0.040 0.080 0.120
O2 O 0.324 0.648 0.035
O3 O 0.960 0.920 0.880
O4 O 0.676 0.352 0.965
O5 O 0.676 0.352 0.535
O6 O 0.324 0.648 0.465
O7 O 0.040 0.080 0.380
O8 O 0.960 0.920 0.620
O9 O 0.154 0.307 0.750
O10 O 0.846 0.693 0.250
Al1 Al 0.854 0.708 0.460
Al2 Al 0.146 0.292 0.960
Al3 Al 0.854 0.708 0.040
Al4 Al 0.146 0.292 0.540
B1 B 0.013 0.025 0.750
B2 B 0.987 0.975 0.250
```


2.
First-principles (PBE-GGA) data for VZnCo3 after structural relaxation, as listed in the Alexandria database.

Computed properties:
The calculation puts the energy above the most stable polymorph in this dataset at 0.0 meV per atom. As for the formation energy: 22.5 kJ/mol of atoms. Its space-group type is Cmcm (63).

The structure in CIF format:
```
data_VZnCo3
_symmetry_space_group_name_H-M 'P 1'
_symmetry_Int_Tables_number 1
_cell_length_a 4.489
_cell_length_b 6.710
_cell_length_c 6.710
_cell_angle_alpha 137.41
_cell_angle_beta 90.00
_cell_angle_gamma 90.00
loop_
_symmetry_equiv_pos_as_xyz
'x,y,z'
loop_
_atom_site_label
_atom_site_type_symbol
_atom_site_fract_x
_atom_site_fract_y
_atom_site_fract_z
Zn1 Zn 0.000 0.000 0.000
Zn2 Zn 0.500 0.000 0.000
Co1 Co 0.250 0.404 0.100
Co2 Co 0.750 0.100 0.404
Co3 Co 0.250 0.819 0.181
Co4 Co 0.750 0.181 0.819
Co5 Co 0.250 0.900 0.596
Co6 Co 0.750 0.596 0.900
V1 V 0.750 0.694 0.306
V2 V 0.250 0.306 0.694
```


Copy entry 1 word for word.
First-principles (PBE-GGA) data for Al2BO5 after structural relaxation, as listed in the Alexandria database.

Computed properties:
Its space-group type is Cmcm (63). Its uncorrected formation energy is -2.42 eV/atom.

The structure in CIF format:
```
data_Al2BO5
_symmetry_space_group_name_H-M 'P 1'
_symmetry_Int_Tables_number 1
_cell_length_a 3.655
_cell_length_b 5.334
_cell_length_c 9.586
_cell_angle_alpha 90.00
_cell_angle_beta 90.00
_cell_angle_gamma 110.04
loop_
_symmetry_equiv_pos_as_xyz
'x,y,z'
loop_
_atom_site_label
_atom_site_type_symbol
_atom_site_fract_x
_atom_site_fract_y
_atom_site_fract_z
O1 O 0.040 0.080 0.120
O2 O 0.324 0.648 0.035
O3 O 0.960 0.920 0.880
O4 O 0.676 0.352 0.965
O5 O 0.676 0.352 0.535
O6 O 0.324 0.648 0.465
O7 O 0.040 0.080 0.380
O8 O 0.960 0.920 0.620
O9 O 0.154 0.307 0.750
O10 O 0.846 0.693 0.250
Al1 Al 0.854 0.708 0.460
Al2 Al 0.146 0.292 0.960
Al3 Al 0.854 0.708 0.040
Al4 Al 0.146 0.292 0.540
B1 B 0.013 0.025 0.750
B2 B 0.987 0.975 0.250
```